Density functional theory data (PBE) for an optimized crystal structure of ZrAsIr2.

Geometry as extended XYZ:
```
4
Lattice="2.967 0.000 0.000 0.000 4.325 0.000 -1.254 0.000 5.184" Properties=species:S:1:pos:R:3 pbc="T T T"
Zr 0.000 0.000 0.000
As 0.856 0.000 2.592
Ir 0.205 2.163 3.829
Ir 1.508 2.163 1.355
```

Calculated values
Energy of formation from the pure elements = -0.3900 eV/atom
Spin magnetization = 0.00 μB/cell
DOS(E_F) = 2.93 states/eV per cell